# 1
First-principles (PBE) data for a geometry-optimized CeYFe2 structure, as listed in Alexandria via LeMat-Bulk.

Values from the calculation:
E, eV per atom: -7.2370
Spin magnetization, μB/f.u.: 1.9
Energy of formation from the pure elements, eV per atom: 0.094

```
data_CeYFe2
_chemical_formula_sum 'Ce1 Y1 Fe2'
_cell_length_a 3.354
_cell_length_b 3.354
_cell_length_c 6.784
_cell_angle_alpha 90.00
_cell_angle_beta 90.00
_cell_angle_gamma 90.00
_space_group_name_H-M_alt 'P 4/m m m'
_space_group_IT_number 123
_space_group_name_Hall '-P 4 2'
loop_
_atom_site_label
_atom_site_fract_x
_atom_site_fract_y
_atom_site_fract_z
Ce1 0.000 0.000 0.000
Y1 0.000 0.000 0.500
Fe1 0.500 0.500 0.218
```


# 2
First-principles (PBE) data for a geometry-optimized Ce2YFe9 structure, as listed in Alexandria via LeMat-Bulk.

Values from the calculation:
E, eV per atom: -7.9435
Spin magnetization, μB/f.u.: 16.7
Energy of formation from the pure elements, eV per atom: -0.069

```
data_Ce2YFe9
_chemical_formula_sum 'Ce6 Y3 Fe27'
_cell_length_a 5.0608
_cell_length_b 5.0608
_cell_length_c 24.6315
_cell_angle_alpha 90.00
_cell_angle_beta 90.00
_cell_angle_gamma 120.00
_space_group_name_H-M_alt 'R -3 m'
_space_group_IT_number 166
_space_group_name_Hall '-R 3 2"'
loop_
_atom_site_label
_atom_site_fract_x
_atom_site_fract_y
_atom_site_fract_z
Ce1 0.0000 0.0000 0.1436
Y1 0.0000 0.0000 0.0000
Fe1 0.0000 0.0000 0.3328
Fe2 0.0000 0.0000 0.5000
Fe3 0.0019 0.5010 0.0808
```


# 3
First-principles (PBE) data for a geometry-optimized CeYZnFe structure, as listed in Alexandria via LeMat-Bulk.

Values from the calculation:
E, eV per atom: -5.5673
Spin magnetization, μB/f.u.: 0.6
Energy of formation from the pure elements, eV per atom: -0.034

```
data_CeYZnFe
_chemical_formula_sum 'Ce4 Y4 Zn4 Fe4'
_cell_length_a 6.993
_cell_length_b 6.993
_cell_length_c 6.993
_cell_angle_alpha 90.00
_cell_angle_beta 90.00
_cell_angle_gamma 90.00
_space_group_name_H-M_alt 'F -4 3 m'
_space_group_IT_number 216
_space_group_name_Hall 'F -4 2 3'
loop_
_atom_site_label
_atom_site_fract_x
_atom_site_fract_y
_atom_site_fract_z
Ce1 0.000 0.000 0.000
Y1 0.000 0.000 0.500
Zn1 0.250 0.250 0.750
Fe1 0.250 0.250 0.250
```


# 4
First-principles (PBE) data for a geometry-optimized CeZn8Fe4 structure, as listed in Alexandria via LeMat-Bulk.

Values from the calculation:
E, eV per atom: -3.9067
Spin magnetization, μB/f.u.: 6.4
Energy of formation from the pure elements, eV per atom: -0.062

```
data_CeZn8Fe4
_chemical_formula_sum 'Ce2 Zn16 Fe8'
_cell_length_a 8.798
_cell_length_b 8.798
_cell_length_c 4.982
_cell_angle_alpha 90.00
_cell_angle_beta 90.00
_cell_angle_gamma 90.00
_space_group_name_H-M_alt 'I 4/m m m'
_space_group_IT_number 139
_space_group_name_Hall '-I 4 2'
loop_
_atom_site_label
_atom_site_fract_x
_atom_site_fract_y
_atom_site_fract_z
Ce1 0.000 0.000 0.000
Zn1 0.000 0.229 0.500
Zn2 0.000 0.342 0.000
Fe1 0.250 0.250 0.250
```


# 5
First-principles (PBE) data for a geometry-optimized CeZn7Fe5 structure, as listed in Alexandria via LeMat-Bulk.

Values from the calculation:
E, eV per atom: -4.4605
Spin magnetization, μB/f.u.: 8.5
Energy of formation from the pure elements, eV per atom: -0.063

```
data_CeZn7Fe5
_chemical_formula_sum 'Ce2 Zn14 Fe10'
_cell_length_a 4.959
_cell_length_b 8.685
_cell_length_c 8.766
_cell_angle_alpha 90.00
_cell_angle_beta 90.00
_cell_angle_gamma 90.00
_space_group_name_H-M_alt 'I m m 2'
_space_group_IT_number 44
loop_
_space_group_symop_operation_xyz
'x,y,z'
'-x,-y,z'
'-x,y,z'
'x,-y,z'
'x+1/2,y+1/2,z+1/2'
'-x+1/2,-y+1/2,z+1/2'
'-x+1/2,y+1/2,z+1/2'
'x+1/2,-y+1/2,z+1/2'
loop_
_atom_site_label
_atom_site_fract_x
_atom_site_fract_y
_atom_site_fract_z
Ce1 0.000 0.000 0.000
Zn1 0.000 0.000 0.348
Zn2 0.000 0.000 0.663
Zn3 0.000 0.282 0.514
Zn4 0.000 0.348 0.017
Zn5 0.000 0.500 0.742
Fe1 0.000 0.500 0.280
Fe2 0.246 0.256 0.265
```


# 6
First-principles (PBE) data for a geometry-optimized CeZnFe structure, as listed in Alexandria via LeMat-Bulk.

Values from the calculation:
E, eV per atom: -5.2976
Spin magnetization, μB/f.u.: 0.0
Energy of formation from the pure elements, eV per atom: -0.074

```
data_CeZnFe
_chemical_formula_sum 'Ce3 Zn3 Fe3'
_cell_length_a 5.4933
_cell_length_b 5.4933
_cell_length_c 6.3185
_cell_angle_alpha 90.00
_cell_angle_beta 90.00
_cell_angle_gamma 120.00
_space_group_name_H-M_alt 'P 32'
_space_group_IT_number 145
loop_
_space_group_symop_operation_xyz
'x,y,z'
'-y,x-y,z+2/3'
'-x+y,-x,z+1/3'
loop_
_atom_site_label
_atom_site_fract_x
_atom_site_fract_y
_atom_site_fract_z
Ce1 0.0057 0.5675 0.0000
Zn1 0.3300 0.3260 0.1692
Fe1 0.0387 0.2045 0.5209
```


# 7
First-principles (PBE) data for a geometry-optimized Ce3Zn3Fe2 structure, as listed in Alexandria via LeMat-Bulk.

Values from the calculation:
E, eV per atom: -5.0566
Spin magnetization, μB/f.u.: 0.2
Energy of formation from the pure elements, eV per atom: -0.238

```
data_Ce3Zn3Fe2
_chemical_formula_sum 'Ce6 Zn6 Fe4'
_cell_length_a 15.509
_cell_length_b 4.445
_cell_length_c 4.682
_cell_angle_alpha 90.00
_cell_angle_beta 101.67
_cell_angle_gamma 90.00
_space_group_name_H-M_alt 'C 1 2/m 1'
_space_group_IT_number 12
loop_
_space_group_symop_operation_xyz
'x,y,z'
'-x,-y,-z'
'-x,y,-z'
'x,-y,z'
'x+1/2,y+1/2,z'
'-x+1/2,-y+1/2,-z'
'-x+1/2,y+1/2,-z'
'x+1/2,-y+1/2,z'
loop_
_atom_site_label
_atom_site_fract_x
_atom_site_fract_y
_atom_site_fract_z
Ce1 0.000 0.000 0.000
Ce2 0.162 0.000 0.588
Zn1 0.000 0.500 0.500
Zn2 0.134 0.500 0.067
Fe1 0.211 0.000 0.051
```


# 8
First-principles (PBE) data for a geometry-optimized CeZn2Fe structure, as listed in Alexandria via LeMat-Bulk.

Values from the calculation:
E, eV per atom: -4.2258
Spin magnetization, μB/f.u.: 0.0
Energy of formation from the pure elements, eV per atom: 0.010

```
data_CeZn2Fe
_chemical_formula_sum 'Ce1 Zn2 Fe1'
_cell_length_a 3.678
_cell_length_b 3.678
_cell_length_c 5.033
_cell_angle_alpha 90.00
_cell_angle_beta 90.00
_cell_angle_gamma 90.00
_space_group_name_H-M_alt 'P 4/m m m'
_space_group_IT_number 123
_space_group_name_Hall '-P 4 2'
loop_
_atom_site_label
_atom_site_fract_x
_atom_site_fract_y
_atom_site_fract_z
Ce1 0.000 0.000 0.000
Zn1 0.000 0.500 0.500
Fe1 0.500 0.500 0.000
```


# 9
First-principles (PBE) data for a geometry-optimized Ce3ZnFe structure, as listed in Alexandria via LeMat-Bulk.

Values from the calculation:
E, eV per atom: -5.5022
Spin magnetization, μB/f.u.: 1.4
Energy of formation from the pure elements, eV per atom: 0.005

```
data_Ce3ZnFe
_chemical_formula_sum 'Ce3 Zn1 Fe1'
_cell_length_a 5.040
_cell_length_b 5.040
_cell_length_c 5.040
_cell_angle_alpha 90.00
_cell_angle_beta 90.00
_cell_angle_gamma 90.00
_space_group_name_H-M_alt 'P m -3 m'
_space_group_IT_number 221
_space_group_name_Hall '-P 4 2 3'
loop_
_atom_site_label
_atom_site_fract_x
_atom_site_fract_y
_atom_site_fract_z
Ce1 0.000 0.000 0.500
Zn1 0.500 0.500 0.500
Fe1 0.000 0.000 0.000
```


# 10
First-principles (PBE) data for a geometry-optimized CeZn9Fe3 structure, as listed in Alexandria via LeMat-Bulk.

Values from the calculation:
E, eV per atom: -3.3699
Spin magnetization, μB/f.u.: 4.8
Energy of formation from the pure elements, eV per atom: -0.079

```
data_CeZn9Fe3
_chemical_formula_sum 'Ce2 Zn18 Fe6'
_cell_length_a 5.017
_cell_length_b 12.334
_cell_length_c 6.802
_cell_angle_alpha 90.00
_cell_angle_beta 110.90
_cell_angle_gamma 90.00
_space_group_name_H-M_alt 'C 1 2/m 1'
_space_group_IT_number 12
loop_
_space_group_symop_operation_xyz
'x,y,z'
'-x,-y,-z'
'-x,y,-z'
'x,-y,z'
'x+1/2,y+1/2,z'
'-x+1/2,-y+1/2,-z'
'-x+1/2,y+1/2,-z'
'x+1/2,-y+1/2,z'
loop_
_atom_site_label
_atom_site_fract_x
_atom_site_fract_y
_atom_site_fract_z
Ce1 0.000 0.000 0.000
Zn1 0.000 0.500 0.500
Zn2 0.115 0.386 0.225
Zn3 0.153 0.176 0.340
Fe1 0.000 0.000 0.500
Fe2 0.250 0.250 0.000
```